CSe2F | GGA-PBE | optimized geometry

```
CSe2F
1.0
5.961 0.000 0.000
0.000 5.961 0.000
2.981 2.981 3.588
Se F C
4 2 2
Cartesian
1.925 4.471 0.897
4.036 1.490 0.897
7.452 7.017 2.691
4.471 4.906 2.691
5.961 2.981 1.794
0.000 0.000 0.000
2.981 2.981 0.000
2.981 5.961 1.794
```

Output
* energy above the most stable polymorph in this dataset: 156 meV/atom
* V: 127.5 Å³ per cell
* formation energy without anion corrections: 1.7 eV per formula unit
* VASP energy: -32.79 eV/cell